Here is Th11Ru12C18 after structural relaxation from the Alexandria database. Energies are from GGA-PBE.

a b c (Å): 10.830 10.830 10.830
angles (deg): 90.00 90.00 90.00
Space group I-43m (No. 217)
One atom of each set of equivalent atoms:
Th: 0.000 0.000 0.000
Th: 0.000 0.250 0.500
Th: 0.203 0.203 0.797
Ru: 0.085 0.085 0.282
C: 0.000 0.000 0.435
C: 0.048 0.263 0.263

Output
As for the density of states at the Fermi level: 44.0 states/eV per cell. Its crystal system is cubic. The electronic total energy comes out at -741.9 eV for the cell shown.

---

Here is Rb3NaAs2S6 after structural relaxation from the Alexandria database. Energies are from GGA-PBE.

a b c (Å): 7.4304 7.4304 8.8997
angles (deg): 90.00 90.00 120.00
Space group P-3m1 (No. 164)
One atom of each set of equivalent atoms:
Rb: 0.0000 0.0000 0.0000
Rb: 0.3333 0.6667 0.6411
Na: 0.0000 0.0000 0.5000
As: 0.3333 0.6667 0.2210
S: 0.1713 0.3427 0.2930

Output
As for the density of states at the Fermi level: 5.9 states/eV per cell. Its crystal system is trigonal. The electronic total energy comes out at -46.1 eV for the cell shown. As for the energy relative to the elements, uncorrected: -0.649 eV per atom.

---

Here is Ca2FeBr after structural relaxation from the Alexandria database. Energies are from GGA-PBE.

a b c (Å): 7.484 7.484 7.484
angles (deg): 90.00 90.00 90.00
Space group Fm-3m (No. 225)
One atom of each set of equivalent atoms:
Ca: 0.250 0.250 0.250
Fe: 0.000 0.000 0.000
Br: 0.000 0.000 0.500

Output
As for the density of states at the Fermi level: 28.6 states/eV per cell. Its crystal system is cubic. The electronic total energy comes out at -56.6 eV for the cell shown. As for the energy relative to the elements, uncorrected: -0.005 eV per atom.

---

Here is Eu2MgCu after structural relaxation from the Alexandria database. Energies are from GGA-PBE.

a b c (Å): 7.668 7.668 7.668
angles (deg): 90.00 90.00 90.00
Space group Fm-3m (No. 225)
One atom of each set of equivalent atoms:
Eu: 0.250 0.250 0.250
Mg: 0.000 0.000 0.000
Cu: 0.000 0.000 0.500

Output
As for the density of states at the Fermi level: 50.4 states/eV per cell. Its crystal system is cubic. The electronic total energy comes out at -105.0 eV for the cell shown.